(1)
Below is crystalline Zn2TePb at its relaxed geometry, with properties calculated at the GGA-PBE level.

a = 3.7577 Å, b = 3.7577 Å, c = 7.8453 Å
α = 90.00°, β = 90.00°, γ = 111.50°
Last column: nearest neighbours and their distance in Å.
Sites, in units of the cell vectors:
Zn 0.0000 0.0000 0.9823  2 Te 2.79, 2 Pb 2.98
Zn 0.0000 0.0000 0.5177  2 Te 2.79, 2 Pb 2.98
Pb 0.5000 0.5000 0.2500  4 Zn 2.98
Te 0.5000 0.5000 0.7500  4 Zn 2.79

E above lowest polymorph   0.1749 eV per atom
Space-group type   Cmmm

(2)
Below is crystalline Zn2TePb at its relaxed geometry, with properties calculated at the GGA-PBE level.

a = 3.6968 Å, b = 3.6968 Å, c = 7.4821 Å
α = 90.00°, β = 90.00°, γ = 90.00°
Last column: nearest neighbours and their distance in Å.
Sites, in units of the cell vectors:
Te 0.5000 0.5000 0.8497  5 Zn 2.69-2.90
Zn 0.5000 0.5000 0.2097  1 Te 2.69, 4 Zn 2.99
Zn 0.0000 0.0000 0.0166  4 Te 2.90, 4 Zn 2.99, 1 Pb 3.05
Pb 0.0000 0.0000 0.4241  5 Zn 3.05-3.07

E above lowest polymorph   0.0612 eV per atom
Space-group type   P4mm

(3)
Below is crystalline ZnTePb2 at its relaxed geometry, with properties calculated at the GGA-PBE level.

a = 3.6322 Å, b = 3.6322 Å, c = 9.4216 Å
α = 90.00°, β = 90.00°, γ = 112.37°
Last column: nearest neighbours and their distance in Å.
Sites, in units of the cell vectors:
Pb 0.5000 0.5000 0.2601  2 Te 3.35, 6 Pb 3.46-3.63
Pb 0.0000 0.0000 0.9615  2 Zn 2.94
Zn 0.5000 0.5000 0.7344  2 Te 2.70, 2 Pb 2.94
Te 0.0000 0.0000 0.5439  2 Zn 2.70

E above lowest polymorph   0.1258 eV per atom
Space-group type   Cmm2

(4)
Below is crystalline ZnTePb2 at its relaxed geometry, with properties calculated at the GGA-PBE level.

a = 4.4763 Å, b = 4.4763 Å, c = 6.2864 Å
α = 90.00°, β = 90.00°, γ = 90.00°
Last column: nearest neighbours and their distance in Å.
Sites, in units of the cell vectors:
Pb 0.0000 0.0000 0.8760  2 Te 3.14, 4 Zn 3.17
Pb 0.5000 0.5000 0.3743  2 Zn 3.14-3.15, 4 Te 3.17
Te 0.0000 0.0000 0.3760  6 Pb 3.14-3.17
Zn 0.5000 0.5000 0.8737  6 Pb 3.14-3.17

E above lowest polymorph   0.0500 eV per atom
Space-group type   P4mm

(5)
Below is crystalline Zn2TePb2 at its relaxed geometry, with properties calculated at the GGA-PBE level.

a = 9.0867 Å, b = 9.0867 Å, c = 3.2890 Å
α = 90.00°, β = 90.00°, γ = 90.00°
Last column: nearest neighbours and their distance in Å.
Sites, in units of the cell vectors:
Zn 0.4006 0.0994 0.5000  1 Zn 2.55
Zn 0.9006 0.4006 0.5000  1 Zn 2.55
Zn 0.5994 0.9006 0.5000  1 Zn 2.55
Zn 0.0994 0.5994 0.5000  1 Zn 2.55
Te 0.5000 0.5000 0.0000  4 Pb 3.27, 2 Te 3.29
Te 0.0000 0.0000 0.0000  4 Pb 3.27, 2 Te 3.29
Pb 0.2023 0.2977 0.0000  6 Zn 3.03-3.33, 2 Te 3.27, 2 Pb 3.29
Pb 0.7977 0.7023 0.0000  6 Zn 3.03-3.33, 2 Te 3.27, 2 Pb 3.29
Pb 0.7023 0.2023 0.0000  6 Zn 3.03-3.33, 2 Te 3.27, 2 Pb 3.29
Pb 0.2977 0.7977 0.0000  6 Zn 3.03-3.33, 2 Te 3.27, 2 Pb 3.29

E above lowest polymorph   0.0410 eV per atom
Space-group type   P4/mbm

(6)
Below is crystalline ZnTe2Pb at its relaxed geometry, with properties calculated at the GGA-PBE level.

a = 4.4047 Å, b = 4.4048 Å, c = 6.3792 Å
α = 90.00°, β = 90.00°, γ = 90.00°
Last column: nearest neighbours and their distance in Å.
Sites, in units of the cell vectors:
Zn 0.0000 0.0000 0.3292  1 Te 2.72
Pb 0.5000 0.5000 0.8773  6 Te 3.10-3.28
Te 0.0000 0.0000 0.9028  1 Zn 2.72
Te 0.5000 0.5000 0.3907  2 Pb 3.10-3.28, 4 Zn 3.14

E above lowest polymorph   0.1259 eV per atom
Space-group type   P4mm

In order of appearance, uncorrected formation energy = 0.55, 0.09, 0.36, 0.06, 0.53, -0.74 eV/f.u..